VASP calculation (PBE) on an optimized crystal structure of Ba2Zn2PbO6.

POSCAR file:
```
Ba2Zn2PbO6
1.0
5.717 0.000 0.000
-2.858 4.951 0.000
0.000 0.000 6.194
Zn O Pb Ba
2 6 1 2
Direct
0.667 0.333 0.001
0.333 0.667 0.999
0.339 0.000 0.811
0.000 0.339 0.811
0.661 0.000 0.189
0.339 0.339 0.189
0.661 0.661 0.811
0.000 0.661 0.189
0.000 0.000 0.000
0.667 0.333 0.501
0.333 0.667 0.499
```

Calculated values
N(E_F) = 0.0 states/eV/f.u.
Calculated volume = 175 Å³/cell
Formation energy from raw total energies = -1.53 eV/atom
Magnetic moment = 0.000 μB per atom